Record 1
# Ca3Cu7Ag2 | Alexandria | GGA-PBE | relaxed
data_Ca3Cu7Ag2
_chemical_formula_sum 'Ca3 Cu7 Ag2'
_space_group_name_H-M_alt 'P 1'
_space_group_IT_number 1
_cell_length_a 5.288
_cell_length_b 5.288
_cell_length_c 9.229
_cell_angle_alpha 73.35
_cell_angle_beta 73.35
_cell_angle_gamma 60.00
loop_
_space_group_symop_operation_xyz
'x,y,z'
loop_
_atom_site_label
_atom_site_fract_x
_atom_site_fract_y
_atom_site_fract_z
Cu1 0.088 0.585 0.742
Cu2 0.415 0.415 0.258
Cu3 0.912 0.415 0.258
Cu4 0.585 0.585 0.742
Cu5 0.500 0.500 0.500
Cu6 0.415 0.912 0.258
Cu7 0.585 0.088 0.742
Ag1 0.332 0.332 0.003
Ag2 0.668 0.668 0.997
Ca1 0.859 0.859 0.424
Ca2 0.141 0.141 0.576
Ca3 0.000 0.000 0.000
# Total moment: 0.0 μB per formula unit
# Total energy: -41.76 eV for the cell shown
# DFT formation energy: -0.1154 eV per atom

Record 2
# Ca3CuAg | Alexandria | GGA-PBE | relaxed
data_Ca3CuAg
_chemical_formula_sum 'Ca3 Cu1 Ag1'
_space_group_name_H-M_alt 'P 1'
_space_group_IT_number 1
_cell_length_a 5.480
_cell_length_b 5.480
_cell_length_c 5.480
_cell_angle_alpha 90.00
_cell_angle_beta 90.00
_cell_angle_gamma 90.00
loop_
_space_group_symop_operation_xyz
'x,y,z'
loop_
_atom_site_label
_atom_site_fract_x
_atom_site_fract_y
_atom_site_fract_z
Ca1 0.000 0.500 0.000
Ca2 0.500 0.000 0.000
Ca3 0.000 0.000 0.500
Cu1 0.000 0.000 0.000
Ag1 0.500 0.500 0.500
# Total moment: 0.0 μB per formula unit
# Total energy: -12.71 eV for the cell shown
# DFT formation energy: 0.0492 eV per atom
# Excess energy over the best structure of this formula in the dataset: 0.251 eV per atom

Record 3
# Ca2Cu2Ag | Alexandria | GGA-PBE | relaxed
data_Ca2Cu2Ag
_chemical_formula_sum 'Ca2 Cu2 Ag1'
_space_group_name_H-M_alt 'P 1'
_space_group_IT_number 1
_cell_length_a 5.586
_cell_length_b 5.586
_cell_length_c 5.474
_cell_angle_alpha 59.32
_cell_angle_beta 59.32
_cell_angle_gamma 90.00
loop_
_space_group_symop_operation_xyz
'x,y,z'
loop_
_atom_site_label
_atom_site_fract_x
_atom_site_fract_y
_atom_site_fract_z
Ca1 0.250 0.750 0.500
Ca2 0.750 0.250 0.500
Cu1 0.348 0.348 0.305
Cu2 0.652 0.652 0.695
Ag1 0.000 0.000 0.000
# Total moment: 0.0 μB per formula unit
# Total energy: -15.18 eV for the cell shown
# DFT formation energy: -0.0271 eV per atom
# Excess energy over the best structure of this formula in the dataset: 0.157 eV per atom

Record 4
# Ca3CuAg2 | Alexandria | GGA-PBE | relaxed
data_Ca3CuAg2
_chemical_formula_sum 'Ca12 Cu4 Ag8'
_space_group_name_H-M_alt 'P 1'
_space_group_IT_number 1
_cell_length_a 4.357
_cell_length_b 12.106
_cell_length_c 12.169
_cell_angle_alpha 90.00
_cell_angle_beta 90.00
_cell_angle_gamma 90.00
loop_
_space_group_symop_operation_xyz
'x,y,z'
loop_
_atom_site_label
_atom_site_fract_x
_atom_site_fract_y
_atom_site_fract_z
Ag1 0.750 0.187 0.017
Ag2 0.750 0.000 0.694
Ag3 0.750 0.313 0.517
Ag4 0.250 0.687 0.483
Ag5 0.250 0.813 0.983
Ag6 0.250 0.500 0.806
Ag7 0.250 0.000 0.306
Ag8 0.750 0.500 0.194
Ca1 0.250 0.058 0.880
Ca2 0.250 0.373 0.049
Ca3 0.250 0.127 0.549
Ca4 0.250 0.699 0.219
Ca5 0.750 0.627 0.951
Ca6 0.750 0.301 0.781
Ca7 0.750 0.873 0.451
Ca8 0.250 0.801 0.719
Ca9 0.750 0.199 0.281
Ca10 0.750 0.558 0.620
Ca11 0.250 0.442 0.380
Ca12 0.750 0.942 0.120
Cu1 0.750 0.875 0.875
Cu2 0.250 0.125 0.125
Cu3 0.750 0.625 0.375
Cu4 0.250 0.375 0.625
# Total moment: 0.0 μB per formula unit
# Total energy: -69.37 eV for the cell shown
# DFT formation energy: -0.2566 eV per atom

Record 5
# Ca2CuAg3 | Alexandria | GGA-PBE | relaxed
data_Ca2CuAg3
_chemical_formula_sum 'Ca4 Cu2 Ag6'
_space_group_name_H-M_alt 'P 1'
_space_group_IT_number 1
_cell_length_a 5.945
_cell_length_b 5.945
_cell_length_c 8.844
_cell_angle_alpha 104.66
_cell_angle_beta 104.66
_cell_angle_gamma 104.31
loop_
_space_group_symop_operation_xyz
'x,y,z'
loop_
_atom_site_label
_atom_site_fract_x
_atom_site_fract_y
_atom_site_fract_z
Ca1 0.250 0.750 0.500
Ca2 0.750 0.750 0.000
Ca3 0.250 0.250 0.000
Ca4 0.750 0.250 0.500
Ag1 0.344 0.829 0.172
Ag2 0.171 0.656 0.828
Ag3 0.171 0.171 0.343
Ag4 0.829 0.344 0.172
Ag5 0.829 0.829 0.657
Ag6 0.656 0.171 0.828
Cu1 0.666 0.666 0.332
Cu2 0.334 0.334 0.668
# Total moment: 0.0 μB per formula unit
# Total energy: -35.90 eV for the cell shown
# DFT formation energy: -0.2158 eV per atom
# Excess energy over the best structure of this formula in the dataset: 0.000 eV per atom

Record 6
# CaCuAg4 | Alexandria | GGA-PBE | relaxed
data_CaCuAg4
_chemical_formula_sum 'Ca1 Cu1 Ag4'
_space_group_name_H-M_alt 'P 1'
_space_group_IT_number 1
_cell_length_a 5.560
_cell_length_b 5.560
_cell_length_c 5.560
_cell_angle_alpha 60.00
_cell_angle_beta 60.00
_cell_angle_gamma 60.00
loop_
_space_group_symop_operation_xyz
'x,y,z'
loop_
_atom_site_label
_atom_site_fract_x
_atom_site_fract_y
_atom_site_fract_z
Ag1 0.375 0.375 0.876
Ag2 0.375 0.876 0.375
Ag3 0.876 0.375 0.375
Ag4 0.375 0.375 0.375
Cu1 0.000 0.000 0.000
Ca1 0.750 0.750 0.750
# Total moment: 0.0 μB per formula unit
# Total energy: -17.65 eV for the cell shown
# DFT formation energy: -0.0239 eV per atom

Record 7
# CaErCuAg | Alexandria | GGA-PBE | relaxed
data_CaErCuAg
_chemical_formula_sum 'Ca1 Er1 Cu1 Ag1'
_space_group_name_H-M_alt 'P 1'
_space_group_IT_number 1
_cell_length_a 5.048
_cell_length_b 5.048
_cell_length_c 5.048
_cell_angle_alpha 60.00
_cell_angle_beta 60.00
_cell_angle_gamma 60.00
loop_
_space_group_symop_operation_xyz
'x,y,z'
loop_
_atom_site_label
_atom_site_fract_x
_atom_site_fract_y
_atom_site_fract_z
Ag1 0.250 0.250 0.250
Ca1 0.500 0.500 0.500
Er1 0.000 0.000 0.000
Cu1 0.750 0.750 0.750
# Total moment: 0.0 μB per formula unit
# Total energy: -14.30 eV for the cell shown
# DFT formation energy: -0.1960 eV per atom

Record 8
# CaEuCuAg | Alexandria | GGA-PBE | relaxed
data_CaEuCuAg
_chemical_formula_sum 'Ca1 Eu1 Cu1 Ag1'
_space_group_name_H-M_alt 'P 1'
_space_group_IT_number 1
_cell_length_a 5.228
_cell_length_b 5.228
_cell_length_c 5.228
_cell_angle_alpha 60.00
_cell_angle_beta 60.00
_cell_angle_gamma 60.00
loop_
_space_group_symop_operation_xyz
'x,y,z'
loop_
_atom_site_label
_atom_site_fract_x
_atom_site_fract_y
_atom_site_fract_z
Ca1 0.000 0.000 0.000
Ag1 0.750 0.750 0.750
Eu1 0.500 0.500 0.500
Cu1 0.250 0.250 0.250
# Total moment: 7.2 μB per formula unit
# Total energy: -19.91 eV for the cell shown
# DFT formation energy: -0.1708 eV per atom

Record 9
# CaCuAg2F6 | Alexandria | GGA-PBE | relaxed
data_CaCuAg2F6
_chemical_formula_sum 'Ca2 Cu2 Ag4 F12'
_space_group_name_H-M_alt 'P 1'
_space_group_IT_number 1
_cell_length_a 5.717
_cell_length_b 5.768
_cell_length_c 8.830
_cell_angle_alpha 90.00
_cell_angle_beta 92.19
_cell_angle_gamma 90.00
loop_
_space_group_symop_operation_xyz
'x,y,z'
loop_
_atom_site_label
_atom_site_fract_x
_atom_site_fract_y
_atom_site_fract_z
Cu1 0.500 0.000 0.500
Cu2 0.000 0.500 0.000
F1 0.681 0.276 0.554
F2 0.394 0.954 0.754
F3 0.106 0.454 0.746
F4 0.606 0.046 0.246
F5 0.773 0.811 0.558
F6 0.727 0.311 0.942
F7 0.819 0.776 0.946
F8 0.273 0.689 0.058
F9 0.319 0.724 0.446
F10 0.227 0.189 0.442
F11 0.894 0.546 0.254
F12 0.181 0.224 0.054
Ca1 0.000 0.500 0.500
Ca2 0.500 0.000 0.000
Ag1 0.485 0.459 0.253
Ag2 0.015 0.959 0.247
Ag3 0.515 0.541 0.747
Ag4 0.985 0.041 0.753
# Energy relative to the elements, uncorrected: -192.81 kJ per mole of atoms
# Total moment: 1.1 μB per formula unit
# Total energy: -86.02 eV for the cell shown

Record 10
# CaCu2AgF8 | Alexandria | GGA-PBE | relaxed
data_CaCu2AgF8
_chemical_formula_sum 'Ca1 Cu2 Ag1 F8'
_space_group_name_H-M_alt 'P 1'
_space_group_IT_number 1
_cell_length_a 5.451
_cell_length_b 5.451
_cell_length_c 6.727
_cell_angle_alpha 113.90
_cell_angle_beta 113.90
_cell_angle_gamma 90.00
loop_
_space_group_symop_operation_xyz
'x,y,z'
loop_
_atom_site_label
_atom_site_fract_x
_atom_site_fract_y
_atom_site_fract_z
Cu1 0.250 0.750 0.500
Cu2 0.500 0.500 0.000
F1 0.029 0.406 0.380
F2 0.387 0.282 0.118
F3 0.026 0.971 0.620
F4 0.351 0.974 0.380
F5 0.594 0.649 0.620
F6 0.731 0.836 0.118
F7 0.164 0.613 0.882
F8 0.718 0.269 0.882
Ag1 0.750 0.250 0.500
Ca1 0.000 0.000 0.000
# Energy relative to the elements, uncorrected: -189.07 kJ per mole of atoms
# Total moment: 3.1 μB per formula unit
# Total energy: -51.53 eV for the cell shown

- What is the total energy in the third record?
  -15.18 eV for the cell shown

- Which value of total moment does entry 5 give?
  0.0 μB per formula unit

- Number 4 is which compound?
  Ca3CuAg2